(1)
4
Lattice="2.9922 0.0000 0.0000 1.4961 2.5913 0.0000 1.4961 0.8638 8.6151" Properties=species:S:1:pos:R:3 comment="DyCrTc2 (PBE, relaxed)" ef_ev_per_atom=0.438 crystal_system=trigonal e_tot_ev_per_atom=-8.30 m_tot_mub_per_fu=0.0 vol_a3_per_atom=16.70 density_g_cm3=10.205 pbc="T T T"
Cr 0.0000 0.0000 0.0000
Tc 4.4882 2.5913 6.8139
Tc 1.4961 0.8638 1.8012
Dy 2.9922 1.7275 4.3075


(2)
6
Lattice="4.9407 0.1215 0.0000 -2.2594 4.3955 0.0000 -1.3406 -2.2585 4.7919" Properties=species:S:1:pos:R:3 comment="DyCrTc (PBE, relaxed)" ef_ev_per_atom=0.375 crystal_system=orthorhombic e_tot_ev_per_atom=-7.82 m_tot_mub_per_fu=0.7 vol_a3_per_atom=17.56 density_g_cm3=9.848 pbc="T T T"
Dy 2.5563 1.5369 0.0000
Dy 0.1250 2.9801 0.0000
Tc 1.3407 2.2585 3.1917
Tc 0.0000 0.0000 1.6003
Cr 2.4704 0.0607 2.3960
Cr -1.1297 2.1978 2.3960


(3)
12
Lattice="-2.4013 1.0315 -7.0461 1.8327 -6.8916 2.3718 -7.4534 0.7575 3.9881" Properties=species:S:1:pos:R:3 comment="Dy2Tl3CrTe6 (PBE, relaxed)" crystal_system=monoclinic formation_energy_uncorrected_ev_per_atom=-0.743 e_tot_ev_per_atom=-4.47 m_tot_mub_per_fu=3.0 vol_a3_per_atom=33.06 density_g_cm3=7.350 pbc="T T T"
Dy 0.4139 -4.2366 -0.7841
Dy -0.9825 -1.6235 -3.8902
Tl -2.6470 -5.1040 2.6912
Tl -5.3752 0.0013 -3.3774
Tl -4.0111 -2.5513 -0.3431
Cr 0.0000 0.0000 0.0000
Te -7.0513 -2.7472 -1.9097
Te -2.0073 -4.3062 -2.7203
Te -0.9709 -2.3554 1.2235
Te -5.7479 -5.1863 0.9895
Te -6.0148 -0.7964 2.0341
Te -2.2742 0.0836 -1.6757


(4)
15
Lattice="-0.7454 4.3160 7.4523 -7.0750 -2.1724 -4.4627 4.5731 -7.1233 4.5828" Properties=species:S:1:pos:R:3 comment="Dy3Tl3CrTe8 (PBE, relaxed)" crystal_system=trigonal formation_energy_uncorrected_ev_per_atom=-0.821 e_tot_ev_per_atom=-4.53 m_tot_mub_per_fu=2.7 vol_a3_per_atom=35.51 density_g_cm3=6.777 pbc="T T T"
Dy 1.9139 -1.4036 6.0176
Dy -1.6236 -2.4898 3.7862
Dy -1.2509 -4.6478 0.0601
Tl 0.0000 0.0000 0.0000
Tl -3.5375 -1.0862 -2.2314
Tl -3.9102 1.0718 1.4948
Cr 2.2865 -3.5616 2.2914
Te -2.5946 -2.0193 0.9100
Te -0.6527 -2.9603 6.6624
Te -3.1727 0.0114 4.6893
Te -0.0745 -4.9910 2.8831
Te 0.6499 1.1878 7.1039
Te -3.8971 -6.1675 0.4685
Te 1.0534 -1.1484 3.0700
Te -4.3006 -3.8312 4.5023


(5)
12
Lattice="-5.0682 -0.8756 5.1659 -0.0425 -4.3235 -5.8690 6.4887 -3.4527 4.0340" Properties=species:S:1:pos:R:3 comment="DyTl3Cr2Te6 (PBE, relaxed)" crystal_system=monoclinic formation_energy_uncorrected_ev_per_atom=-0.474 e_tot_ev_per_atom=-4.62 m_tot_mub_per_fu=6.2 vol_a3_per_atom=30.83 density_g_cm3=7.384 pbc="T T T"
Dy 0.0000 0.0000 0.0000
Tl 2.4273 -5.5184 -2.1512
Tl -1.0492 -3.1334 5.4821
Tl 0.6890 -4.3259 1.6655
Cr -1.7118 -3.1783 -2.2037
Cr -3.3988 -2.0208 1.5006
Te 0.4468 -6.0570 4.6988
Te -2.3582 -4.2939 0.2676
Te 0.9313 -2.5948 -1.3679
Te 2.2634 -7.3033 0.7100
Te 3.7363 -4.3579 3.0633
Te -0.8854 -1.3485 2.6209


(6)
4
Lattice="-0.4904 -1.3429 4.7996 -1.3291 -4.6856 1.1659 3.3325 -3.1028 2.0851" Properties=species:S:1:pos:R:3 comment="DyTmZnCr (PBE, relaxed)" ef_ev_per_atom=0.002 crystal_system=cubic e_tot_ev_per_atom=-4.99 m_tot_mub_per_fu=3.5 vol_a3_per_atom=22.20 density_g_cm3=8.392 pbc="T T T"
Cr 0.0000 0.0000 0.0000
Zn 0.7565 -4.5656 4.0254
Tm 1.1348 -6.8485 6.0380
Dy 0.3783 -2.2828 2.0127


(7)
4
Lattice="5.0531 0.0000 0.0000 2.5265 4.3761 0.0000 2.5265 1.4587 4.1258" Properties=species:S:1:pos:R:3 comment="DyYZnCr (PBE, relaxed)" ef_ev_per_atom=0.007 crystal_system=cubic e_tot_ev_per_atom=-5.48 m_tot_mub_per_fu=3.5 vol_a3_per_atom=22.81 density_g_cm3=6.713 pbc="T T T"
Y 2.5265 1.4587 1.0315
Cr 0.0000 0.0000 0.0000
Zn 5.0531 2.9174 2.0629
Dy 7.5796 4.3761 3.0944


(8)
6
Lattice="-4.6102 2.4336 0.0512 -3.1298 -0.4324 4.1468 -0.7510 4.0954 3.1373" Properties=species:S:1:pos:R:3 comment="DyZn4Cr (PBE, relaxed)" ef_ev_per_atom=-0.142 crystal_system=cubic e_tot_ev_per_atom=-3.36 m_tot_mub_per_fu=3.0 vol_a3_per_atom=16.70 density_g_cm3=7.891 pbc="T T T"
Cr 0.0000 0.0000 0.0000
Zn -4.9355 1.7549 3.0120
Zn -3.7389 4.0325 2.5042
Zn -5.3133 3.8150 4.5901
Zn -2.9943 2.5908 4.5643
Dy -2.1227 1.5242 1.8338


(9)
5
Lattice="-0.4412 -3.7827 3.6678 3.9730 2.1787 2.7249 -3.4608 2.9835 2.6606" Properties=species:S:1:pos:R:3 comment="Er4Cr (PBE, relaxed)" ef_ev_per_atom=0.388 crystal_system=cubic e_tot_ev_per_atom=-5.19 m_tot_mub_per_fu=1.3 vol_a3_per_atom=29.56 density_g_cm3=8.100 pbc="T T T"
Cr 0.0355 0.6897 4.5267
Er 0.0000 0.0000 0.0000
Er -1.9510 -0.3996 3.1642
Er 0.2561 2.5811 2.6927
Er 1.7659 -0.8020 3.1964